[1]
## CdAsCl2 (PBE)

Data for a relaxed structure of CdAsCl2.

The space group is Fmmm (No. 69) and the conventional cell measures 6.2217, 7.6625 and 7.8592 Å, with angles of 90.00, 90.00 and 90.00 degrees. The asymmetric unit holds Cd at (0.0000, 0.0000, 0.0000), As at (0.0000, 0.0000, 0.5000) and Cl at (0.0000, 0.2500, 0.2500).

As for the raw total energy: -2.49 eV per atom. The energy relative to the lowest polymorph listed for this composition is 0.92 eV/f.u.

---

[2]
## AcTmIr2 (PBE)

Data for a relaxed structure of AcTmIr2.

The space group is R-3m (No. 166, hexagonal axes) and the conventional cell measures 4.5845, 4.5845 and 15.9240 Å, with angles of 90.00, 90.00 and 120.00 degrees. The asymmetric unit holds Ac at (0.0000, 0.0000, 0.0000), Tm at (0.0000, 0.0000, 0.5000) and Ir at (0.0000, 0.0000, 0.2201).

For the energy of formation from the pure elements, the calculation gives -548.8 meV per atom. As for the raw total energy: -7.12 eV per atom. The energy relative to the lowest polymorph listed for this composition is 0.18 eV/f.u.

---

[3]
## CsBa2Bi2 (PBE)

Data for a relaxed structure of CsBa2Bi2.

The space group is P4/mbm (No. 127) and the conventional cell measures 10.4273, 10.4273 and 4.0788 Å, with angles of 90.00, 90.00 and 90.00 degrees. The asymmetric unit holds Cs at (0.0000, 0.0000, 0.0000), Ba at (0.1301, 0.3699, 0.0000) and Bi at (0.1667, 0.6667, 0.5000).

For the energy of formation from the pure elements, the calculation gives -734.4 meV per atom. As for the raw total energy: -3.23 eV per atom. The energy relative to the lowest polymorph listed for this composition is 0.00 eV/f.u.

---

[4]
## PaZn3Pt3 (PBE)

Data for a relaxed structure of PaZn3Pt3.

The space group is Pm-3n (No. 223) and the conventional cell measures 6.7917, 6.7917 and 6.7917 Å, with angles of 90.00, 90.00 and 90.00 degrees. The asymmetric unit holds Pa at (0.0000, 0.0000, 0.0000), Zn at (0.0000, 0.2500, 0.5000) and Pt at (0.0000, 0.5000, 0.2500).

For the energy of formation from the pure elements, the calculation gives 162.3 meV per atom. As for the raw total energy: -4.33 eV per atom. The energy relative to the lowest polymorph listed for this composition is 5.54 eV/f.u.

---

[5]
## Tl6Sn3Hg (PBE)

Data for a relaxed structure of Tl6Sn3Hg.

The space group is P2_1/m (No. 11) and the conventional cell measures 12.5772, 3.4037 and 15.2006 Å, with angles of 90.00, 112.90 and 90.00 degrees. The asymmetric unit holds Tl at (0.0353, 0.2500, 0.4125), Tl at (0.1470, 0.7500, 0.9987), Tl at (0.1670, 0.2500, 0.7821), Tl at (0.2608, 0.7500, 0.3906), Tl at (0.3309, 0.2500, 0.2166), Tl at (0.4415, 0.2500, 0.8035), Sn at (0.2493, 0.7500, 0.6102), Sn at (0.3870, 0.2500, 0.9959), Sn at (0.4643, 0.2500, 0.5823) and Hg at (0.0655, 0.7500, 0.1780).

For the energy of formation from the pure elements, the calculation gives 32.2 meV per atom. As for the raw total energy: -2.62 eV per atom.

---

[6]
## K2BRh (PBE)

Data for a relaxed structure of K2BRh.

The space group is I-42d (No. 122) and the conventional cell measures 12.1779, 12.1779 and 3.9619 Å, with angles of 90.00, 90.00 and 90.00 degrees. The asymmetric unit holds K at (0.0366, 0.2500, 0.1250), B at (0.0000, 0.0000, 0.5000) and Rh at (0.0000, 0.0000, 0.0000).

For the energy of formation from the pure elements, the calculation gives 460.0 meV per atom. As for the raw total energy: -3.60 eV per atom.

---

[7]
## LaSi3H (PBE)

Data for a relaxed structure of LaSi3H.

The space group is Pm-3m (No. 221) and the conventional cell measures 4.3348, 4.3348 and 4.3348 Å, with angles of 90.00, 90.00 and 90.00 degrees. The asymmetric unit holds La at (0.0000, 0.0000, 0.0000), Si at (0.0000, 0.5000, 0.5000) and H at (0.5000, 0.5000, 0.5000).

As for the raw total energy: -4.88 eV per atom. The energy relative to the lowest polymorph listed for this composition is 0.00 eV/f.u.

---

[8]
## KPaHgO4 (PBE)

Data for a relaxed structure of KPaHgO4.

The space group is Imma (No. 74) and the conventional cell measures 6.8781, 7.0548 and 11.1042 Å, with angles of 90.00, 90.00 and 90.00 degrees. The asymmetric unit holds K at (0.0000, 0.2500, 0.1542), Pa at (0.0000, 0.0000, 0.5000), Hg at (0.2500, 0.2500, 0.7500), O at (0.0000, 0.0402, 0.6967) and O at (0.1916, 0.2500, 0.4866).

As for the raw total energy: -6.60 eV per atom.

---

[9]
## YFe2Ir (PBE)

Data for a relaxed structure of YFe2Ir.

The space group is Pmmm (No. 47) and the conventional cell measures 2.9770, 3.7321 and 6.0314 Å, with angles of 90.00, 90.00 and 90.00 degrees. The asymmetric unit holds Y at (0.0000, 0.0000, 0.0000), Fe at (0.5000, 0.5000, 0.3136) and Ir at (0.0000, 0.0000, 0.5000).

For the energy of formation from the pure elements, the calculation gives 111.7 meV per atom. As for the raw total energy: -7.95 eV per atom.

---

[10]
## SrCuSe2 (PBE)

Data for a relaxed structure of SrCuSe2.

The space group is C2/m (No. 12) and the conventional cell measures 6.9996, 4.4222 and 6.6234 Å, with angles of 90.00, 106.12 and 90.00 degrees. The asymmetric unit holds Sr at (0.0000, 0.0000, 0.0000), Cu at (0.0000, 0.5000, 0.5000) and Se at (0.2377, 0.5000, 0.2950).

As for the raw total energy: -4.01 eV per atom.

---

[11]
## CsMg2SnPb4 (PBE)

Data for a relaxed structure of CsMg2SnPb4.

The space group is R-3m (No. 166, hexagonal axes) and the conventional cell measures 5.5073, 5.5073 and 31.9629 Å, with angles of 90.00, 90.00 and 120.00 degrees. The asymmetric unit holds Cs at (0.0000, 0.0000, 0.0000), Mg at (0.0000, 0.0000, 0.2290), Sn at (0.0000, 0.0000, 0.5000), Pb at (0.0000, 0.0000, 0.1278) and Pb at (0.0000, 0.0000, 0.4086).

For the energy of formation from the pure elements, the calculation gives -3.8 meV per atom. As for the raw total energy: -2.86 eV per atom.

---

[12]
## Na3Pm2MnS6 (PBE)

Data for a relaxed structure of Na3Pm2MnS6.

The space group is C2/m (No. 12) and the conventional cell measures 6.8132, 11.9077 and 7.0512 Å, with angles of 90.00, 108.56 and 90.00 degrees. The asymmetric unit holds Na at (0.0000, 0.0000, 0.0000), Na at (0.0000, 0.3328, 0.0000), Pm at (0.0000, 0.1691, 0.5000), Mn at (0.0000, 0.5000, 0.5000), S at (0.2210, 0.5000, 0.2916) and S at (0.2346, 0.3443, 0.7299).

As for the raw total energy: -5.37 eV per atom.

---

[13]
## Sn2Hg2As (PBE)

Data for a relaxed structure of Sn2Hg2As.

The space group is C2/m (No. 12) and the conventional cell measures 6.9063, 3.9960 and 9.8479 Å, with angles of 90.00, 90.05 and 90.00 degrees. The asymmetric unit holds Sn at (0.1671, 0.0000, 0.1750), Hg at (0.1664, 0.0000, 0.6058) and As at (0.0000, 0.5000, 0.0000).

For the energy of formation from the pure elements, the calculation gives 10.0 meV per atom. As for the raw total energy: -2.64 eV per atom. The energy relative to the lowest polymorph listed for this composition is 0.00 eV/f.u.

---

[14]
## CsLiSi2Sn (PBE)

Data for a relaxed structure of CsLiSi2Sn.

The space group is P4/mmm (No. 123) and the conventional cell measures 5.7517, 5.7517 and 6.1986 Å, with angles of 90.00, 90.00 and 90.00 degrees. The asymmetric unit holds Cs at (0.0000, 0.0000, 0.0000), Li at (0.5000, 0.5000, 0.5000), Si at (0.0000, 0.5000, 0.0000) and Sn at (0.0000, 0.0000, 0.5000).

As for the raw total energy: -1.78 eV per atom.

---

[15]
## KSiSb2 (PBE)

Data for a relaxed structure of KSiSb2.

The space group is Pmm2 (No. 25) and the conventional cell measures 3.2325, 5.4418 and 6.6580 Å, with angles of 90.00, 90.00 and 90.00 degrees. The asymmetric unit holds K at (0.0000, 0.0000, 0.0000), Si at (0.5000, 0.5000, 0.3110), Sb at (0.5000, 0.0000, 0.4779) and Sb at (0.5000, 0.5000, 0.7051).

As for the raw total energy: -3.60 eV per atom.

---

[16]
## CuIrOF2 (PBE)

Data for a relaxed structure of CuIrOF2.

The space group is P4/mmm (No. 123) and the conventional cell measures 3.6049, 3.6049 and 4.9825 Å, with angles of 90.00, 90.00 and 90.00 degrees. The asymmetric unit holds Cu at (0.0000, 0.0000, 0.0000), Ir at (0.5000, 0.5000, 0.5000), O at (0.0000, 0.0000, 0.5000) and F at (0.0000, 0.5000, 0.0000).

As for the raw total energy: -4.26 eV per atom. The energy relative to the lowest polymorph listed for this composition is 2.27 eV/f.u.

---

[17]
## MoPd2Pt9 (PBE)

Data for a relaxed structure of MoPd2Pt9.

The space group is P4/mmm (No. 123) and the conventional cell measures 3.9621, 3.9621 and 11.8865 Å, with angles of 90.00, 90.00 and 90.00 degrees. The asymmetric unit holds Mo at (0.0000, 0.0000, 0.0000), Pd at (0.0000, 0.0000, 0.3324), Pt at (0.0000, 0.5000, 0.1614), Pt at (0.0000, 0.5000, 0.5000), Pt at (0.5000, 0.5000, 0.0000) and Pt at (0.5000, 0.5000, 0.3318).

For the energy of formation from the pure elements, the calculation gives -133.5 meV per atom. As for the raw total energy: -6.43 eV per atom.

---

[18]
## KPPt3 (PBE)

Data for a relaxed structure of KPPt3.

The space group is P2_1/m (No. 11) and the conventional cell measures 6.3905, 5.6062 and 6.6640 Å, with angles of 90.00, 94.16 and 90.00 degrees. The asymmetric unit holds K at (0.2008, 0.2500, 0.3808), P at (0.4083, 0.7500, 0.1528), Pt at (0.0514, 0.7500, 0.1243) and Pt at (0.3072, 0.0038, 0.8737).

For the energy of formation from the pure elements, the calculation gives -312.3 meV per atom. As for the raw total energy: -5.24 eV per atom. The energy relative to the lowest polymorph listed for this composition is 0.00 eV/f.u.

---

[19]
## Na2TlPb (PBE)

Data for a relaxed structure of Na2TlPb.

The space group is P4/mmm (No. 123) and the conventional cell measures 5.7237, 5.7237 and 3.4777 Å, with angles of 90.00, 90.00 and 90.00 degrees. The asymmetric unit holds Na at (0.0000, 0.5000, 0.0000), Tl at (0.0000, 0.0000, 0.5000) and Pb at (0.5000, 0.5000, 0.5000).

For the energy of formation from the pure elements, the calculation gives -114.6 meV per atom. As for the raw total energy: -2.29 eV per atom.

---

[20]
## LaNd4Tl4 (PBE)

Data for a relaxed structure of LaNd4Tl4.

The space group is P4_2/n (No. 86, origin choice 2) and the conventional cell measures 9.4332, 9.4332 and 6.3211 Å, with angles of 90.00, 90.00 and 90.00 degrees. The asymmetric unit holds La at (0.2500, 0.2500, 0.2500), Nd at (0.0829, 0.8254, 0.6264) and Tl at (0.0387, 0.1450, 0.8582).

For the energy of formation from the pure elements, the calculation gives -204.7 meV per atom. As for the raw total energy: -3.92 eV per atom.